1.
Compound: Tb2PmPrEr
Source: the Alexandria database
Functional: PBE
Structure: optimized geometry

Properties
D(E_F) in states/eV per cell: 17.05
Magnetization in μB per cell: 0.0
Formation enthalpy at 0 K in eV/f.u.: 1.92
Raw total energy in eV per atom: -4.29
Crystal system: orthorhombic

a = 7.1795 Å, b = 7.1795 Å, c = 7.1835 Å
α = 90.00°, β = 90.00°, γ = 107.92°
Fractional positions:
Tb: 0.1873 0.1873 0.0000
Tb: 0.1873 0.1873 0.5000
Tb: 0.8127 0.8127 0.0000
Tb: 0.8127 0.8127 0.5000
Pm: 0.4981 0.5019 0.7500
Pm: 0.5019 0.4981 0.2500
Pr: 0.2302 0.7698 0.7500
Pr: 0.7698 0.2302 0.2500
Er: 0.2226 0.7774 0.2500
Er: 0.7774 0.2226 0.7500

2.
Compound: TbPmPrEr
Source: the Alexandria database
Functional: PBE
Structure: optimized geometry

Properties
D(E_F) in states/eV per cell: 11.37
Magnetization in μB per cell: 0.0
Formation enthalpy at 0 K in eV/f.u.: 0.08
Raw total energy in eV per atom: -4.66
Crystal system: tetragonal
E above lowest polymorph in meV per atom: 0

a = 5.1127 Å, b = 5.1127 Å, c = 10.1715 Å
α = 90.00°, β = 90.00°, γ = 90.00°
Fractional positions:
Tb: 0.0000 0.0000 0.0000
Tb: 0.5000 0.5000 0.5000
Pm: 0.0000 0.5000 0.2500
Pm: 0.5000 0.0000 0.7500
Pr: 0.0000 0.0000 0.5000
Pr: 0.5000 0.5000 0.0000
Er: 0.0000 0.5000 0.7500
Er: 0.5000 0.0000 0.2500

3.
Compound: Tb3PmPr6Er2
Source: the Alexandria database
Functional: PBE
Structure: optimized geometry

Properties
D(E_F) in states/eV per cell: 14.02
Magnetization in μB per cell: 0.0
Formation enthalpy at 0 K in eV/f.u.: 0.14
Raw total energy in eV per atom: -4.69
Crystal system: monoclinic

a = 6.3200 Å, b = 6.3200 Å, c = 11.9393 Å
α = 95.06°, β = 95.06°, γ = 120.02°
Fractional positions:
Tb: 0.0000 0.0000 0.0000
Tb: 0.3333 0.6667 0.0000
Tb: 0.6667 0.3333 0.0000
Pm: 0.5000 0.5000 0.5000
Pr: 0.0821 0.4162 0.2500
Pr: 0.2499 0.2499 0.7497
Pr: 0.4162 0.0821 0.2500
Pr: 0.5838 0.9179 0.7500
Pr: 0.7501 0.7501 0.2503
Pr: 0.9179 0.5838 0.7500
Er: 0.1666 0.8334 0.5000
Er: 0.8334 0.1666 0.5000

4.
Compound: TbPm2Pr6Er
Source: the Alexandria database
Functional: PBE
Structure: optimized geometry

Properties
D(E_F) in states/eV per cell: 29.41
Magnetization in μB per cell: 0.0
Formation enthalpy at 0 K in eV/f.u.: 1.13
Raw total energy in eV per atom: -4.62
Crystal system: monoclinic

a = 9.0360 Å, b = 9.0360 Å, c = 9.8531 Å
α = 94.27°, β = 94.27°, γ = 118.00°
Fractional positions:
Tb: 0.0224 0.9776 0.7500
Tb: 0.9776 0.0224 0.2500
Pm: 0.1973 0.2955 0.5437
Pm: 0.2955 0.1973 0.0437
Pm: 0.7045 0.8027 0.9563
Pm: 0.8027 0.7045 0.4563
Pr: 0.0111 0.5696 0.6900
Pr: 0.1190 0.7565 0.0537
Pr: 0.2435 0.8810 0.4463
Pr: 0.2933 0.5040 0.8817
Pr: 0.4304 0.9889 0.8100
Pr: 0.4960 0.7067 0.6183
Pr: 0.5040 0.2933 0.3817
Pr: 0.5696 0.0111 0.1900
Pr: 0.7067 0.4960 0.1183
Pr: 0.7565 0.1190 0.5537
Pr: 0.8810 0.2435 0.9463
Pr: 0.9889 0.4304 0.3100
Er: 0.4096 0.5904 0.2500
Er: 0.5904 0.4096 0.7500

5.
Compound: TbPmPrEr
Source: the Alexandria database
Functional: PBE
Structure: optimized geometry

Properties
D(E_F) in states/eV per cell: 30.95
Magnetization in μB per cell: 0.0
Formation enthalpy at 0 K in eV/f.u.: 0.46
Raw total energy in eV per atom: -4.57
Crystal system: cubic
E above lowest polymorph in meV per atom: 95

a = 8.1185 Å, b = 8.1185 Å, c = 8.1185 Å
α = 90.00°, β = 90.00°, γ = 90.00°
Fractional positions:
Tb: 0.0000 0.0000 0.0000
Tb: 0.0000 0.5000 0.5000
Tb: 0.5000 0.0000 0.5000
Tb: 0.5000 0.5000 0.0000
Pm: 0.2500 0.2500 0.7500
Pm: 0.2500 0.7500 0.2500
Pm: 0.7500 0.2500 0.2500
Pm: 0.7500 0.7500 0.7500
Pr: 0.2500 0.2500 0.2500
Pr: 0.2500 0.7500 0.7500
Pr: 0.7500 0.2500 0.7500
Pr: 0.7500 0.7500 0.2500
Er: 0.0000 0.0000 0.5000
Er: 0.0000 0.5000 0.0000
Er: 0.5000 0.0000 0.0000
Er: 0.5000 0.5000 0.5000

6.
Compound: Tb2PmPr5Er
Source: the Alexandria database
Functional: PBE
Structure: optimized geometry

Properties
D(E_F) in states/eV per cell: 27.71
Magnetization in μB per cell: 0.0
Formation enthalpy at 0 K in eV/f.u.: 2.63
Raw total energy in eV per atom: -4.43
Crystal system: tetragonal

a = 9.7707 Å, b = 9.7707 Å, c = 9.7707 Å
α = 122.00°, β = 122.00°, γ = 86.57°
Fractional positions:
Tb: 0.1086 0.6086 0.7171
Tb: 0.3914 0.1086 0.5000
Tb: 0.6086 0.8914 0.5000
Tb: 0.8914 0.3914 0.2829
Pm: 0.2500 0.2500 0.0000
Pm: 0.7500 0.7500 0.0000
Pr: 0.0000 0.0000 0.0000
Pr: 0.0700 0.1646 0.5000
Pr: 0.1646 0.6646 0.0946
Pr: 0.3354 0.4300 0.5000
Pr: 0.4300 0.9300 0.0946
Pr: 0.5000 0.5000 0.0000
Pr: 0.5700 0.0700 0.9054
Pr: 0.6646 0.5700 0.5000
Pr: 0.8354 0.3354 0.9054
Pr: 0.9300 0.8354 0.5000
Er: 0.2500 0.7500 0.5000
Er: 0.7500 0.2500 0.5000

7.
Compound: Tb2Pm2PrEr2
Source: the Alexandria database
Functional: PBE
Structure: optimized geometry

Properties
D(E_F) in states/eV per cell: 24.29
Magnetization in μB per cell: 0.0
Formation enthalpy at 0 K in eV/f.u.: 0.62
Raw total energy in eV per atom: -4.58
Crystal system: monoclinic

a = 11.7470 Å, b = 3.5405 Å, c = 11.8898 Å
α = 90.00°, β = 109.16°, γ = 90.00°
Fractional positions:
Tb: 0.0511 0.0000 0.2720
Tb: 0.4489 0.5000 0.7280
Tb: 0.5511 0.5000 0.2720
Tb: 0.9489 0.0000 0.7280
Pm: 0.1701 0.0000 0.5831
Pm: 0.3299 0.5000 0.4169
Pm: 0.6701 0.5000 0.5831
Pm: 0.8299 0.0000 0.4169
Pr: 0.0000 0.5000 0.0000
Pr: 0.5000 0.0000 0.0000
Er: 0.2243 0.5000 0.8616
Er: 0.2757 0.0000 0.1384
Er: 0.7243 0.0000 0.8616
Er: 0.7757 0.5000 0.1384

8.
Compound: TbPm3Pr6Er2
Source: the Alexandria database
Functional: PBE
Structure: optimized geometry

Properties
D(E_F) in states/eV per cell: 15.07
Magnetization in μB per cell: 0.0
Formation enthalpy at 0 K in eV/f.u.: 0.16
Raw total energy in eV per atom: -4.71
Crystal system: monoclinic

a = 6.3450 Å, b = 6.3450 Å, c = 12.0060 Å
α = 95.04°, β = 95.04°, γ = 120.02°
Fractional positions:
Tb: 0.0000 0.0000 0.0000
Pm: 0.1667 0.8333 0.5000
Pm: 0.5000 0.5000 0.5000
Pm: 0.8333 0.1667 0.5000
Pr: 0.0828 0.4165 0.2465
Pr: 0.2509 0.2509 0.7536
Pr: 0.4165 0.0828 0.2465
Pr: 0.5835 0.9172 0.7535
Pr: 0.7491 0.7491 0.2464
Pr: 0.9172 0.5835 0.7535
Er: 0.3334 0.6666 0.0000
Er: 0.6666 0.3334 0.0000

9.
Compound: Pm2Pr3ErTe6
Source: the Alexandria database
Functional: PBE
Structure: optimized geometry

Properties
D(E_F) in states/eV per cell: 6.66
Magnetization in μB per cell: 0.0
E_form (uncorrected) in eV/atom: -1.3943
Raw total energy in eV per atom: -5.33
Crystal system: monoclinic

a = 10.0244 Å, b = 10.0244 Å, c = 9.0259 Å
α = 103.29°, β = 103.29°, γ = 25.57°
Fractional positions:
Pm: 0.1696 0.1696 0.3370
Pm: 0.8304 0.8304 0.6630
Pr: 0.1717 0.1717 0.8347
Pr: 0.5000 0.5000 0.5000
Pr: 0.8283 0.8283 0.1653
Er: 0.5000 0.5000 0.0000
Te: 0.0001 0.0001 0.2377
Te: 0.9999 0.9999 0.7623
Te: 0.3337 0.3337 0.4197
Te: 0.3401 0.3401 0.9164
Te: 0.6599 0.6599 0.0836
Te: 0.6663 0.6663 0.5803

10.
Compound: PmPr4Er3Te8
Source: the Alexandria database
Functional: PBE
Structure: optimized geometry

Properties
D(E_F) in states/eV per cell: 10.76
Magnetization in μB per cell: 0.0
E_form (uncorrected) in eV/atom: -1.3518
Raw total energy in eV per atom: -5.27
Crystal system: trigonal

a = 9.0060 Å, b = 9.0060 Å, c = 9.0060 Å
α = 58.36°, β = 58.36°, γ = 58.36°
Fractional positions:
Pm: 0.0000 0.0000 0.0000
Pr: 0.0000 0.0000 0.5000
Pr: 0.0000 0.5000 0.0000
Pr: 0.5000 0.0000 0.0000
Pr: 0.5000 0.5000 0.5000
Er: 0.0000 0.5000 0.5000
Er: 0.5000 0.0000 0.5000
Er: 0.5000 0.5000 0.0000
Te: 0.2483 0.2483 0.7392
Te: 0.2483 0.7392 0.2483
Te: 0.2561 0.2561 0.2561
Te: 0.2608 0.7517 0.7517
Te: 0.7392 0.2483 0.2483
Te: 0.7439 0.7439 0.7439
Te: 0.7517 0.2608 0.7517
Te: 0.7517 0.7517 0.2608

11.
Compound: Pm3Pr3ErTe8
Source: the Alexandria database
Functional: PBE
Structure: optimized geometry

Properties
D(E_F) in states/eV per cell: 7.20
Magnetization in μB per cell: 0.0
E_form (uncorrected) in eV/atom: -1.4419
Raw total energy in eV per atom: -5.33
Crystal system: trigonal

a = 8.9676 Å, b = 8.9676 Å, c = 8.9676 Å
α = 59.79°, β = 59.79°, γ = 59.79°
Fractional positions:
Pm: 0.0000 0.5000 0.5000
Pm: 0.5000 0.0000 0.5000
Pm: 0.5000 0.5000 0.0000
Pr: 0.0000 0.0000 0.5000
Pr: 0.0000 0.5000 0.0000
Pr: 0.5000 0.0000 0.0000
Er: 0.0000 0.0000 0.0000
Te: 0.2476 0.2476 0.7493
Te: 0.2476 0.7493 0.2476
Te: 0.2507 0.7524 0.7524
Te: 0.2516 0.2516 0.2516
Te: 0.7484 0.7484 0.7484
Te: 0.7493 0.2476 0.2476
Te: 0.7524 0.2507 0.7524
Te: 0.7524 0.7524 0.2507

12.
Compound: Pm2PrEr3Te6
Source: the Alexandria database
Functional: PBE
Structure: optimized geometry

Properties
D(E_F) in states/eV per cell: 5.76
Magnetization in μB per cell: 0.0
E_form (uncorrected) in eV/atom: -1.3217
Raw total energy in eV per atom: -5.22
Crystal system: monoclinic

a = 9.9190 Å, b = 9.9190 Å, c = 8.9345 Å
α = 104.95°, β = 104.95°, γ = 25.30°
Fractional positions:
Pm: 0.1658 0.1658 0.3311
Pm: 0.8342 0.8342 0.6689
Pr: 0.5000 0.5000 0.0000
Er: 0.1651 0.1651 0.8318
Er: 0.5000 0.5000 0.5000
Er: 0.8349 0.8349 0.1682
Te: 0.0025 0.0025 0.7392
Te: 0.3286 0.3286 0.9240
Te: 0.3358 0.3358 0.4103
Te: 0.6642 0.6642 0.5897
Te: 0.6714 0.6714 0.0760
Te: 0.9975 0.9975 0.2608

13.
Compound: Pm3Pr4ErTe8
Source: the Alexandria database
Functional: PBE
Structure: optimized geometry

Properties
D(E_F) in states/eV per cell: 12.16
Magnetization in μB per cell: 0.0
E_form (uncorrected) in eV/atom: -1.3952
Raw total energy in eV per atom: -5.34
Crystal system: trigonal

a = 8.9927 Å, b = 8.9927 Å, c = 8.9927 Å
α = 59.60°, β = 59.60°, γ = 59.60°
Fractional positions:
Pm: 0.0000 0.5000 0.5000
Pm: 0.5000 0.0000 0.5000
Pm: 0.5000 0.5000 0.0000
Pr: 0.0000 0.0000 0.5000
Pr: 0.0000 0.5000 0.0000
Pr: 0.5000 0.0000 0.0000
Pr: 0.5000 0.5000 0.5000
Er: 0.0000 0.0000 0.0000
Te: 0.2435 0.2435 0.7530
Te: 0.2435 0.7530 0.2435
Te: 0.2470 0.7565 0.7565
Te: 0.2518 0.2518 0.2518
Te: 0.7482 0.7482 0.7482
Te: 0.7530 0.2435 0.2435
Te: 0.7565 0.2470 0.7565
Te: 0.7565 0.7565 0.2470

14.
Compound: Pm6PrEr2Th
Source: the Alexandria database
Functional: PBE
Structure: optimized geometry

Properties
D(E_F) in states/eV per cell: 28.90
Magnetization in μB per cell: 0.0
Formation enthalpy at 0 K in eV/f.u.: 1.42
Raw total energy in eV per atom: -4.84
Crystal system: monoclinic

a = 8.8551 Å, b = 8.8551 Å, c = 9.7345 Å
α = 94.02°, β = 94.02°, γ = 115.93°
Fractional positions:
Pm: 0.0175 0.5769 0.1839
Pm: 0.1073 0.7609 0.5588
Pm: 0.2391 0.8927 0.9412
Pm: 0.2978 0.5136 0.3812
Pm: 0.4231 0.9825 0.3161
Pm: 0.4864 0.7022 0.1188
Pm: 0.5136 0.2978 0.8812
Pm: 0.5769 0.0175 0.6839
Pm: 0.7022 0.4864 0.6188
Pm: 0.7609 0.1073 0.0588
Pm: 0.8927 0.2391 0.4412
Pm: 0.9825 0.4231 0.8161
Pr: 0.4043 0.5957 0.7500
Pr: 0.5957 0.4043 0.2500
Er: 0.1972 0.2889 0.0517
Er: 0.2889 0.1972 0.5517
Er: 0.7111 0.8028 0.4483
Er: 0.8028 0.7111 0.9483
Th: 0.0321 0.9679 0.2500
Th: 0.9679 0.0321 0.7500

15.
Compound: Pm4Pr2ErTh
Source: the Alexandria database
Functional: PBE
Structure: optimized geometry

Properties
D(E_F) in states/eV per cell: 15.86
Magnetization in μB per cell: 0.0
Formation enthalpy at 0 K in eV/f.u.: 1.07
Raw total energy in eV per atom: -4.93
Crystal system: monoclinic

a = 6.0850 Å, b = 6.0916 Å, c = 7.3354 Å
α = 90.00°, β = 90.10°, γ = 90.00°
Fractional positions:
Pm: 0.0001 0.0000 0.2467
Pm: 0.9999 0.0000 0.7533
Pm: 0.4996 0.5000 0.2465
Pm: 0.5004 0.5000 0.7535
Pr: 0.0000 0.5000 0.0000
Pr: 0.5000 0.0000 0.5000
Er: 0.0000 0.5000 0.5000
Th: 0.5000 0.0000 0.0000

16.
Compound: PmPrEr3Th
Source: the Alexandria database
Functional: PBE
Structure: optimized geometry

Properties
D(E_F) in states/eV per cell: 16.41
Magnetization in μB per cell: 0.0
Formation enthalpy at 0 K in eV/f.u.: 1.31
Raw total energy in eV per atom: -4.89
Crystal system: monoclinic

a = 10.2458 Å, b = 10.2458 Å, c = 7.0801 Å
α = 90.26°, β = 90.26°, γ = 31.88°
Fractional positions:
Pm: 0.1487 0.1487 0.0380
Pm: 0.8513 0.8513 0.9620
Pr: 0.1464 0.1464 0.4594
Pr: 0.8536 0.8536 0.5406
Er: 0.0236 0.0236 0.7539
Er: 0.2788 0.2788 0.7468
Er: 0.3426 0.3426 0.2447
Er: 0.6574 0.6574 0.7553
Er: 0.7212 0.7212 0.2532
Er: 0.9764 0.9764 0.2461
Th: 0.4464 0.4464 0.7635
Th: 0.5536 0.5536 0.2365

17.
Compound: Pm4Pr2ErTh2
Source: the Alexandria database
Functional: PBE
Structure: optimized geometry

Properties
D(E_F) in states/eV per cell: 13.75
Magnetization in μB per cell: 0.0
Formation enthalpy at 0 K in eV/f.u.: 1.00
Raw total energy in eV per atom: -5.22
Crystal system: triclinic

a = 6.1759 Å, b = 6.8549 Å, c = 8.5617 Å
α = 78.73°, β = 70.45°, γ = 64.92°
Fractional positions:
Pm: 0.0101 0.1298 0.2763
Pm: 0.3302 0.5653 0.3653
Pm: 0.6698 0.4347 0.6347
Pm: 0.9899 0.8702 0.7237
Pr: 0.0968 0.3118 0.8503
Pr: 0.9032 0.6882 0.1497
Er: 0.5000 0.0000 0.5000
Th: 0.4562 0.7762 0.9490
Th: 0.5438 0.2238 0.0510

18.
Compound: Pm3PrErTh
Source: the Alexandria database
Functional: PBE
Structure: optimized geometry

Properties
D(E_F) in states/eV per cell: 17.94
Magnetization in μB per cell: 0.0
Formation enthalpy at 0 K in eV/f.u.: 0.19
Raw total energy in eV per atom: -5.14
Crystal system: monoclinic

a = 8.1181 Å, b = 5.1293 Å, c = 10.2588 Å
α = 90.00°, β = 108.57°, γ = 90.00°
Fractional positions:
Pm: 0.1734 0.2500 0.0446
Pm: 0.1794 0.2500 0.5444
Pm: 0.1800 0.7500 0.2947
Pm: 0.8200 0.2500 0.7053
Pm: 0.8206 0.7500 0.4556
Pm: 0.8266 0.7500 0.9554
Pr: 0.1710 0.7500 0.7927
Pr: 0.8290 0.2500 0.2073
Er: 0.4998 0.2500 0.8720
Er: 0.5002 0.7500 0.1280
Th: 0.4993 0.2500 0.3780
Th: 0.5007 0.7500 0.6220

19.
Compound: PmPr6Er2Th
Source: the Alexandria database
Functional: PBE
Structure: optimized geometry

Properties
D(E_F) in states/eV per cell: 28.39
Magnetization in μB per cell: 0.0
Formation enthalpy at 0 K in eV/f.u.: 1.38
Raw total energy in eV per atom: -4.86
Crystal system: monoclinic

a = 8.9208 Å, b = 8.9208 Å, c = 9.8623 Å
α = 94.45°, β = 94.45°, γ = 116.07°
Fractional positions:
Pm: 0.0942 0.9058 0.7500
Pm: 0.9058 0.0942 0.2500
Pr: 0.0112 0.7998 0.3806
Pr: 0.0760 0.5117 0.1863
Pr: 0.2002 0.9888 0.1194
Pr: 0.2596 0.6055 0.5579
Pr: 0.3945 0.7405 0.9421
Pr: 0.4883 0.9240 0.3137
Pr: 0.5117 0.0760 0.6863
Pr: 0.6055 0.2596 0.0579
Pr: 0.7405 0.3945 0.4421
Pr: 0.7998 0.0112 0.8806
Pr: 0.9240 0.4883 0.8137
Pr: 0.9888 0.2002 0.6194
Er: 0.2143 0.3034 0.9487
Er: 0.3034 0.2143 0.4487
Er: 0.6966 0.7857 0.5513
Er: 0.7857 0.6966 0.0513
Th: 0.4696 0.5304 0.2500
Th: 0.5304 0.4696 0.7500

20.
Compound: PmPr4Er2Th
Source: the Alexandria database
Functional: PBE
Structure: optimized geometry

Properties
D(E_F) in states/eV per cell: 26.15
Magnetization in μB per cell: 0.0
Formation enthalpy at 0 K in eV/f.u.: 0.34
Raw total energy in eV per atom: -5.01
Crystal system: monoclinic

a = 11.5086 Å, b = 5.1621 Å, c = 10.2781 Å
α = 90.00°, β = 116.68°, γ = 90.00°
Fractional positions:
Pm: 0.0000 0.0000 0.0000
Pm: 0.5000 0.5000 0.0000
Pr: 0.2481 0.5000 0.6218
Pr: 0.2491 0.0000 0.8715
Pr: 0.2509 0.5000 0.1285
Pr: 0.2519 0.0000 0.3782
Pr: 0.7481 0.0000 0.6218
Pr: 0.7491 0.5000 0.8715
Pr: 0.7509 0.0000 0.1285
Pr: 0.7519 0.5000 0.3782
Er: 0.0020 0.5000 0.7459
Er: 0.4980 0.0000 0.2541
Er: 0.5020 0.0000 0.7459
Er: 0.9980 0.5000 0.2541
Th: 0.0000 0.0000 0.5000
Th: 0.5000 0.5000 0.5000